Mg2In5Rh3 | PBE | relaxed

## Properties
energy of formation from the pure elements = -0.313 eV/atom
energy = -84.12 eV for the cell shown

a b c (Å): 8.7942 8.7942 5.6425
angles (deg): 100.81 100.81 103.74
With the nearest neighbours (Å) after each atom.
Positions (direct):
Mg: 0.0896 0.6770 0.9650  2 Rh 2.63-2.83
Mg: 0.3230 0.9104 0.5350  2 Rh 2.63-2.83
Mg: 0.6770 0.0896 0.4650  2 Rh 2.63-2.83
Mg: 0.9104 0.3230 0.0350  2 Rh 2.63-2.83
In: 0.0058 0.9942 0.2500  4 Rh 2.79-2.94, 2 In 2.83
In: 0.2275 0.5345 0.4514  4 Rh 2.68-2.94
In: 0.2305 0.3545 0.8875  3 Rh 2.63-2.76
In: 0.3545 0.2305 0.3875  3 Rh 2.63-2.76
In: 0.4655 0.7725 0.0486  4 Rh 2.68-2.94
In: 0.5345 0.2275 0.9514  4 Rh 2.68-2.94
In: 0.6455 0.7695 0.6125  3 Rh 2.63-2.76
In: 0.7695 0.6455 0.1125  3 Rh 2.63-2.76
In: 0.7725 0.4655 0.5486  4 Rh 2.68-2.94
In: 0.9942 0.0058 0.7500  4 Rh 2.79-2.94, 2 In 2.83
Rh: 0.0299 0.7230 0.4775  5 In 2.63-2.94, 2 Mg 2.63-2.83
Rh: 0.2770 0.9701 0.0225  5 In 2.63-2.94, 2 Mg 2.63-2.83
Rh: 0.4936 0.5064 0.2500  8 In 2.66-2.84, 2 Rh 2.83
Rh: 0.5064 0.4936 0.7500  8 In 2.66-2.84, 2 Rh 2.83
Rh: 0.7230 0.0299 0.9775  5 In 2.63-2.94, 2 Mg 2.63-2.83
Rh: 0.9701 0.2770 0.5225  5 In 2.63-2.94, 2 Mg 2.63-2.83

---

Mg2InRh2 | PBE | relaxed

## Properties
energy of formation from the pure elements = -0.412 eV/atom
energy = -45.38 eV for the cell shown

a b c (Å): 7.2119 7.2119 3.3478
angles (deg): 90.00 90.00 90.00
With the nearest neighbours (Å) after each atom.
Positions (direct):
Mg: 0.1471 0.3529 0.0000  6 Rh 2.67-2.72
Mg: 0.3529 0.8529 0.0000  6 Rh 2.67-2.72
Mg: 0.6471 0.1471 0.0000  6 Rh 2.67-2.72
Mg: 0.8529 0.6471 0.0000  6 Rh 2.67-2.72
In: 0.0000 0.0000 0.5000  4 Rh 2.75
In: 0.5000 0.5000 0.5000  4 Rh 2.75
Rh: 0.1493 0.6493 0.5000  6 Mg 2.67-2.72, 2 In 2.75
Rh: 0.3507 0.1493 0.5000  6 Mg 2.67-2.72, 2 In 2.75
Rh: 0.6493 0.8507 0.5000  6 Mg 2.67-2.72, 2 In 2.75
Rh: 0.8507 0.3507 0.5000  6 Mg 2.67-2.72, 2 In 2.75

---

MgInRh2 | PBE | relaxed

## Properties
energy of formation from the pure elements = -0.385 eV/atom
energy = -20.58 eV for the cell shown

a b c (Å): 5.1720 5.1720 4.6280
angles (deg): 107.04 107.04 34.07
With the nearest neighbours (Å) after each atom.
Positions (direct):
Mg: 0.0000 0.0000 0.0000  7 Rh 2.74-2.81, 1 In 3.03, 2 Mg 3.03
In: 0.7772 0.7772 0.3825  7 Rh 2.75-2.80, 1 Mg 3.03, 2 In 3.03
Rh: 0.2539 0.2539 0.8746  3 Mg 2.75-2.77, 4 In 2.75-2.80, 4 Rh 2.83-3.03
Rh: 0.5229 0.5229 0.5068  4 Mg 2.74-2.81, 3 In 2.75-2.77, 4 Rh 2.83-3.03